A plane-wave DFT calculation with GGA-PBE was carried out for a relaxed structure of SrLi2Er.

## Properties
**Offset from the most stable computed form**: 47 meV per atom
**Energy of formation from the pure elements**: 18.4 kJ per mole of atoms
**N(E_F)**: 1.157 states/eV/atom

Cell lengths 7.858, 7.858, 7.858 Å; angles 90.00, 90.00, 90.00 degrees
Space group Fm-3m (No. 225)
Unique sites:
1 Sr 0.000 0.000 0.000 [4 per cell]
2 Li 0.250 0.250 0.250 [8 per cell]
3 Er 0.000 0.000 0.500 [4 per cell]

***

A plane-wave DFT calculation with GGA-PBE was carried out for a relaxed structure of SrLiEr.

## Properties
**Offset from the most stable computed form**: 0 meV per atom
**Energy of formation from the pure elements**: 9.1 kJ per mole of atoms
**N(E_F)**: 0.995 states/eV/atom

Cell lengths 3.875, 3.875, 13.586 Å; angles 90.00, 90.00, 90.00 degrees
Space group P4/nmm (No. 129, origin choice 2)
Unique sites:
1 Sr 0.250 0.250 0.123 [2 per cell]
2 Li 0.250 0.250 0.705 [2 per cell]
3 Er 0.250 0.250 0.423 [2 per cell]

***

A plane-wave DFT calculation with GGA-PBE was carried out for a relaxed structure of SrLiEr.

## Properties
**Offset from the most stable computed form**: 103 meV per atom
**Energy of formation from the pure elements**: 19.1 kJ per mole of atoms
**N(E_F)**: 1.423 states/eV/atom

Cell lengths 3.834, 3.834, 13.695 Å; angles 90.00, 90.00, 90.00 degrees
Space group I4mm (No. 107)
Unique sites:
1 Sr 0.000 0.000 0.000 [2 per cell]
2 Li 0.000 0.000 0.334 [2 per cell]
3 Er 0.000 0.000 0.707 [2 per cell]